Ce8C8Cl5 | PBE | optimized geometry

Cell: 16.571 6.662 7.583 Å, 76.32 90.00 90.00°
Each line ends with the local moment (μB).
Element x y z (fractional)
Ce: 0.306 0.368 0.068  0.43
Ce: 0.069 0.380 0.145  0.28
Ce: 0.950 0.891 0.220  0.35
Ce: 0.050 0.109 0.780  0.35
Ce: 0.694 0.632 0.932  0.43
Ce: 0.450 0.609 0.780  0.35
Ce: 0.931 0.620 0.855  0.28
Ce: 0.194 0.868 0.068  0.43
Ce: 0.672 0.905 0.297  0.12
Ce: 0.550 0.391 0.220  0.35
Ce: 0.431 0.880 0.145  0.28
Ce: 0.328 0.095 0.703  0.12
Ce: 0.569 0.120 0.855  0.28
Ce: 0.806 0.132 0.932  0.43
Ce: 0.172 0.595 0.703  0.12
Ce: 0.828 0.405 0.297  0.12
C: 0.661 0.237 0.044  -0.01
C: 0.283 0.710 0.838  -0.01
C: 0.839 0.737 0.044  -0.01
C: 0.717 0.290 0.162  -0.01
C: 0.539 0.724 0.973  -0.02
C: 0.339 0.763 0.956  -0.01
C: 0.217 0.210 0.838  -0.01
C: 0.461 0.276 0.027  -0.02
C: 0.085 0.717 0.894  -0.01
C: 0.039 0.776 0.027  -0.02
C: 0.915 0.283 0.106  -0.01
C: 0.585 0.783 0.106  -0.01
C: 0.783 0.790 0.162  -0.01
C: 0.161 0.263 0.956  -0.01
C: 0.961 0.224 0.973  -0.02
C: 0.415 0.217 0.894  -0.01
Cl: 0.098 0.983 0.410  0.00
Cl: 0.297 0.978 0.347  -0.01
Cl: 0.203 0.478 0.347  -0.01
Cl: 0.902 0.017 0.590  0.00
Cl: 0.402 0.483 0.410  0.00
Cl: 0.797 0.522 0.653  -0.01
Cl: 0.500 0.000 0.500  0.00
Cl: 0.598 0.517 0.590  0.00
Cl: 0.000 0.500 0.500  0.00
Cl: 0.703 0.022 0.653  -0.01

Output
The density of states at the Fermi level is 1.075 states/eV per atom. Its calculated volume is 813 Å³/cell. The space group is No. 14.

---

Ce3C2Cl | PBE | optimized geometry

Cell: 3.981 6.793 9.720 Å, 90.00 90.00 107.04°
Each line ends with the local moment (μB).
Element x y z (fractional)
Ce: 0.616 0.233 0.057  0.80
Ce: 0.074 0.148 0.750  0.52
Ce: 0.616 0.233 0.443  0.80
Ce: 0.926 0.852 0.250  0.52
Ce: 0.384 0.767 0.943  0.80
Ce: 0.384 0.767 0.557  0.80
C: 0.000 0.000 0.000  -0.05
C: 0.000 0.000 0.500  -0.05
C: 0.518 0.035 0.250  -0.03
C: 0.482 0.965 0.750  -0.03
Cl: 0.245 0.490 0.250  -0.01
Cl: 0.755 0.510 0.750  -0.01

Output
The density of states at the Fermi level is 1.688 states/eV per atom. Its calculated volume is 251 Å³/cell. The space group is No. 63.

---

Ce6Co2CCl3 | PBE | optimized geometry

Cell: 6.596 6.596 7.365 Å, 96.05 96.05 119.81°
Each line ends with the local moment (μB).
Element x y z (fractional)
Ce: 0.911 0.605 0.814  0.57
Ce: 0.801 0.801 0.245  0.70
Ce: 0.089 0.395 0.186  0.57
Ce: 0.605 0.911 0.814  0.57
Ce: 0.199 0.199 0.755  0.70
Ce: 0.395 0.089 0.186  0.57
Co: 0.367 0.633 0.000  -0.16
Co: 0.633 0.367 0.000  -0.16
C: 0.000 0.000 0.000  -0.05
Cl: 0.191 0.809 0.500  -0.01
Cl: 0.809 0.191 0.500  -0.01
Cl: 0.500 0.500 0.500  -0.01

Output
The density of states at the Fermi level is 1.956 states/eV per atom. Its calculated volume is 272 Å³/cell. The space group is No. 12.

---

Results for raw formation energy: -989; -532; -848 (in meV per atom, following the order of the records).
Results for energy: -7.203; -6.881; -6.230 (in eV per atom, following the order of the records).